No. 1
# NaTlO2 (meta-GGA SCAN, PBEsol geometry)
# Crystal system ... tetragonal
# Energy ... -23.324 eV/atom
# Uncorrected formation energy ... -1.07 eV per atom
# Total magnetic moment ... 0.00 μB per cell
data_NaTlO2
_chemical_formula_sum 'Na4 Tl4 O8'
_space_group_name_H-M_alt 'I -4 2 d'
_space_group_IT_number 122
_space_group_name_Hall 'I -4 2bw'
_cell_length_a 5.313
_cell_length_b 5.313
_cell_length_c 9.624
_cell_angle_alpha 90.00
_cell_angle_beta 90.00
_cell_angle_gamma 90.00
loop_
_atom_site_label
_atom_site_type_symbol
_atom_site_fract_x
_atom_site_fract_y
_atom_site_fract_z
Na1 Na 0.000 0.000 0.000
Tl1 Tl 0.000 0.000 0.500
O1 O 0.227 0.250 0.625



No. 2
# AgHg2 (meta-GGA SCAN, PBEsol geometry)
# Crystal system ... trigonal
# Energy ... -55.817 eV/atom
# Formation energy ... 0.0829 eV per atom
# Energy above the lowest structure with this stoichiometry ... 0.11 eV per formula unit
# Total magnetic moment ... 0.00 μB per cell
data_AgHg2
_chemical_formula_sum 'Ag1 Hg2'
_space_group_name_H-M_alt 'P -3 m 1'
_space_group_IT_number 164
_space_group_name_Hall '-P 3 2"'
_cell_length_a 3.1210
_cell_length_b 3.1210
_cell_length_c 7.1839
_cell_angle_alpha 90.00
_cell_angle_beta 90.00
_cell_angle_gamma 120.00
loop_
_atom_site_label
_atom_site_type_symbol
_atom_site_fract_x
_atom_site_fract_y
_atom_site_fract_z
Ag1 Ag 0.0000 0.0000 0.0000
Hg1 Hg 0.3333 0.6667 0.6796



No. 3
# LiCd2Pt (meta-GGA SCAN, PBEsol geometry)
# Crystal system ... tetragonal
# Energy ... -33.772 eV/atom
# Formation energy ... -0.4191 eV per atom
# Energy above the lowest structure with this stoichiometry ... 0.28 eV per formula unit
# Total magnetic moment ... 0.00 μB per cell
data_LiCd2Pt
_chemical_formula_sum 'Li2 Cd4 Pt2'
_space_group_name_H-M_alt 'I -4 m 2'
_space_group_IT_number 119
_space_group_name_Hall 'I -4 -2'
_cell_length_a 4.021
_cell_length_b 4.021
_cell_length_c 8.215
_cell_angle_alpha 90.00
_cell_angle_beta 90.00
_cell_angle_gamma 90.00
loop_
_atom_site_label
_atom_site_type_symbol
_atom_site_fract_x
_atom_site_fract_y
_atom_site_fract_z
Li1 Li 0.000 0.000 0.000
Cd1 Cd 0.000 0.000 0.500
Cd2 Cd 0.000 0.500 0.250
Pt1 Pt 0.000 0.500 0.750



No. 4
# Be2CoRu (meta-GGA SCAN, PBEsol geometry)
# Crystal system ... tetragonal
# Energy ... -15.375 eV/atom
# Formation energy ... -0.1659 eV per atom
# Total magnetic moment ... 3.54 μB per cell
data_Be2CoRu
_chemical_formula_sum 'Be4 Co2 Ru2'
_space_group_name_H-M_alt 'I -4 m 2'
_space_group_IT_number 119
_space_group_name_Hall 'I -4 -2'
_cell_length_a 3.192
_cell_length_b 3.192
_cell_length_c 7.731
_cell_angle_alpha 90.00
_cell_angle_beta 90.00
_cell_angle_gamma 90.00
loop_
_atom_site_label
_atom_site_type_symbol
_atom_site_fract_x
_atom_site_fract_y
_atom_site_fract_z
Be1 Be 0.000 0.000 0.000
Be2 Be 0.000 0.500 0.250
Co1 Co 0.000 0.000 0.500
Ru1 Ru 0.000 0.500 0.750